Ce2MnP4Ir3: relaxed, PBE-GGA.

Structure (CIF):
```
data_Ce2MnP4Ir3
_chemical_formula_sum 'Ce2 Mn1 P4 Ir3'
_cell_length_a 4.169
_cell_length_b 4.169
_cell_length_c 9.372
_cell_angle_alpha 90.00
_cell_angle_beta 90.00
_cell_angle_gamma 90.00
_space_group_name_H-M_alt 'P -4 m 2'
_space_group_IT_number 115
_space_group_name_Hall 'P -4 -2'
loop_
_atom_site_label
_atom_site_type_symbol
_atom_site_fract_x
_atom_site_fract_y
_atom_site_fract_z
_atom_site_occupancy
Ce1 Ce 0.000 0.500 0.248 1
Mn1 Mn 0.000 0.000 0.500 1
P1 P 0.000 0.000 0.000 1
P2 P 0.000 0.500 0.627 1
P3 P 0.500 0.500 0.000 1
Ir1 Ir 0.000 0.500 0.884 1
Ir2 Ir 0.500 0.500 0.500 1
```

Values from the calculation:
Calculated formation energy in meV/atom: -1000.0